{
  "formula": "NaScSn2Se4",
  "functional": "PBE",
  "state": "relaxed",
  "raw_formation_energy_mev_per_atom": -924,
  "total_energy_ev_per_atom": -4.623,
  "sg": "No. 10",
  "rho_kg_m3": 5062,
  "lattice": [[-3.6911, 1.0058, -1.5524], [-2.9917, -5.5903, 3.4913], [-2.1126, 2.2565, 6.4849]],
  "species": ["Se", "Se", "Se", "Se", "Sc", "Sn", "Sn", "Na"],
  "frac_coords": [[0.5000, 0.2732, 0.7283], [0.5000, 0.7268, 0.2717], [0.0000, 0.7347, 0.7340], [0.0000, 0.2653, 0.2660], [0.0000, 0.5000, 0.5000], [0.0000, 0.0000, 0.0000], [0.5000, 0.0000, 0.5000], [0.5000, 0.5000, 0.0000]]
}